LiPrTl2 meta-GGA SCAN PBEsol geometry; crystal system = cubic; space group = Fm-3m (225); E_form = -0.509 eV/atom
1.0
0.0000 3.6947 3.6947
3.6947 0.0000 3.6947
3.6947 3.6947 0.0000
Li Pr Tl
1 1 2
Direct
0.0000 0.0000 0.0000
0.5000 0.5000 0.5000
0.2500 0.2500 0.2500
0.7500 0.7500 0.7500